Entry 1:
# ScSi2S6

An optimized crystal structure of ScSi2S6 (PBE, the Alexandria database).

## Properties
**Formation energy (no corrections)**: -0.780 eV per atom

Lattice parameters (Å, degrees): 12.091 10.864 6.314 90.00 100.82 90.00
Space group C2/c (No. 15)
One atom of each set of equivalent atoms:
Sc (0.000, 0.113, 0.250) (multiplicity 4)
Si (0.211, 0.423, 0.326) (multiplicity 8)
S (0.111, 0.079, 0.634) (multiplicity 8)
S (0.141, 0.425, 0.621) (multiplicity 8)
S (0.145, 0.263, 0.157) (multiplicity 8)

Entry 2:
# HoPu2Mn3

An optimized crystal structure of HoPu2Mn3 (PBE, the Alexandria database).

## Properties
**Formation energy**: 0.4 eV/f.u.

Lattice parameters (Å, degrees): 5.7093 5.7093 3.9075 90.00 90.00 120.00
Space group P6/mmm (No. 191)
One atom of each set of equivalent atoms:
Ho (0.0000, 0.0000, 0.0000) (multiplicity 1)
Pu (0.3333, 0.6667, 0.0000) (multiplicity 2)
Mn (0.0000, 0.5000, 0.5000) (multiplicity 3)

Entry 3:
# MgPaZnO6

An optimized crystal structure of MgPaZnO6 (PBE, the Alexandria database).

## Properties
**Formation energy (no corrections)**: -1.956 eV per atom

Lattice parameters (Å, degrees): 5.2616 5.2616 4.7075 90.00 90.00 120.00
Space group P312 (No. 149)
One atom of each set of equivalent atoms:
Mg (0.0000, 0.0000, 0.0000) (multiplicity 1)
Pa (0.6667, 0.3333, 0.5000) (multiplicity 1)
Zn (0.3333, 0.6667, 0.0000) (multiplicity 1)
O (0.0059, 0.3371, 0.2360) (multiplicity 6)

Entry 4:
# ZrNbAuN2

An optimized crystal structure of ZrNbAuN2 (PBE, the Alexandria database).

## Properties
**Formation energy (no corrections)**: 2.039 eV per atom

Lattice parameters (Å, degrees): 4.109 4.109 5.231 90.00 90.00 90.00
Space group P4/mmm (No. 123)
One atom of each set of equivalent atoms:
Zr (0.000, 0.000, 0.000) (multiplicity 1)
Nb (0.500, 0.500, 0.000) (multiplicity 1)
Au (0.000, 0.000, 0.500) (multiplicity 1)
N (0.000, 0.500, 0.500) (multiplicity 2)

Results for magnetic moment: 0.74, 4.59, 2.99, 0.00 (in μB/f.u., following the order of the records).